No. 1
Crystalline HoTm7 at its relaxed geometry, computed with PBE.

extended XYZ file:
```
8
Lattice="-1.737 5.453 6.372 1.737 -5.453 6.372 1.737 5.453 -6.372" Properties=species:S:1:pos:R:3 pbc="T T T"
Ho 0.000 0.000 0.000
Tm 1.737 2.947 -1.698
Tm 1.737 0.000 3.066
Tm 1.737 2.947 1.698
Tm 0.000 5.453 0.000
Tm 0.000 2.506 4.674
Tm 0.000 5.453 3.305
Tm 0.000 2.506 8.069
```

Output
V ... 241 Å³/cell
Polymorph energy (0 for the lowest one) ... 0.82 kJ/mol of atoms
SG ... No. 71


No. 2
Crystalline Ho6Tm7 at its relaxed geometry, computed with PBE.

extended XYZ file:
```
13
Lattice="3.227 1.863 11.532 -3.227 1.863 11.532 0.000 -3.726 11.532" Properties=species:S:1:pos:R:3 pbc="T T T"
Ho 0.000 0.000 1.616
Ho 0.000 0.000 5.136
Ho 0.000 0.000 11.524
Ho 0.000 0.000 23.072
Ho 0.000 0.000 29.459
Ho 0.000 0.000 32.979
Tm -1.626 -0.939 14.576
Tm 0.000 -1.878 20.019
Tm -1.626 0.939 20.019
Tm 0.000 0.000 17.298
Tm 1.626 -0.939 14.576
Tm 0.000 1.878 14.576
Tm 1.626 0.939 20.019
```

Output
V ... 416 Å³/cell
SG ... No. 166


The energy of formation results, record by record, are as follows: 39.1 268.3 meV/atom.
The total magnetic moment results, record by record, are as follows: 0.00 5.14 μB/f.u..